1.
An optimized crystal structure of Sm2TmC, computed with PBE.

Output
Space group   No. 166
Energy of formation   0.035 eV/atom
Mass density   7.360 Mg/m³
M_tot   0.00 Bohr magnetons per cell

a b c (Å): 9.9829 9.9829 9.9829
angles (deg): 20.69 20.69 20.69
Fractional coordinates of all 4 atoms:
Sm (0.1190, 0.1190, 0.1190)
Sm (0.8810, 0.8810, 0.8810)
Tm (0.0000, 0.0000, 0.0000)
C (0.5000, 0.5000, 0.5000)

---

2.
An optimized crystal structure of SmTm2C3, computed with PBE.

Output
Space group   No. 74
Energy of formation   -0.084 eV/atom
Mass density   8.149 Mg/m³
M_tot   0.00 Bohr magnetons per cell

a b c (Å): 6.9459 6.9459 6.9459
angles (deg): 132.51 83.56 115.88
Fractional coordinates of all 12 atoms:
Sm (0.2919, 0.0419, 0.2500)
Sm (0.7081, 0.9581, 0.7500)
Tm (0.0908, 0.6686, 0.4222)
Tm (0.2536, 0.3314, 0.9222)
Tm (0.7464, 0.6686, 0.0778)
Tm (0.9092, 0.3314, 0.5778)
C (0.0000, 0.0000, 0.5000)
C (0.0000, 0.1232, 0.1232)
C (0.0000, 0.5000, 0.0000)
C (0.0000, 0.8768, 0.8768)
C (0.5000, 0.1232, 0.6232)
C (0.5000, 0.8768, 0.3768)

---

3.
An optimized crystal structure of SmTm3C8, computed with PBE.

Output
Space group   No. 42
Energy of formation   0.126 eV/atom
Mass density   6.995 Mg/m³
M_tot   0.00 Bohr magnetons per cell

a b c (Å): 6.2519 6.1470 6.6627
angles (deg): 58.26 56.74 65.00
Fractional coordinates of all 12 atoms:
Sm (0.0000, 0.0000, 0.0000)
Tm (0.2675, 0.2675, 0.2325)
Tm (0.4953, 0.4953, 0.5047)
Tm (0.7675, 0.7675, 0.7325)
C (0.0896, 0.4285, 0.5715)
C (0.1116, 0.5980, 0.8884)
C (0.3829, 0.8778, 0.1222)
C (0.4285, 0.0896, 0.9104)
C (0.5590, 0.8984, 0.4410)
C (0.5980, 0.1116, 0.4020)
C (0.8778, 0.3829, 0.6171)
C (0.8984, 0.5590, 0.1016)

---

4.
An optimized crystal structure of SmTm3C2, computed with PBE.

Output
Space group   No. 12
Energy of formation   -0.286 eV/atom
Mass density   8.386 Mg/m³
M_tot   1.76 Bohr magnetons per cell

a b c (Å): 7.1524 7.1524 7.3622
angles (deg): 119.13 119.13 60.00
Fractional coordinates of all 12 atoms:
Sm (0.2464, 0.2464, 0.2385)
Sm (0.7536, 0.7536, 0.7615)
Tm (0.2353, 0.7391, 0.2132)
Tm (0.2611, 0.2611, 0.7869)
Tm (0.2609, 0.7647, 0.7868)
Tm (0.7391, 0.2353, 0.2132)
Tm (0.7389, 0.7389, 0.2131)
Tm (0.7647, 0.2609, 0.7868)
C (0.0000, 0.0000, 0.0000)
C (0.0000, 0.5000, 0.0000)
C (0.5000, 0.0000, 0.0000)
C (0.5000, 0.5000, 0.0000)

---

5.
An optimized crystal structure of Sm3TmC2, computed with PBE.

Output
Space group   No. 12
Energy of formation   -0.197 eV/atom
Mass density   7.388 Mg/m³
M_tot   1.01 Bohr magnetons per cell

a b c (Å): 8.4087 8.4087 12.5744
angles (deg): 128.28 128.28 24.91
Fractional coordinates of all 12 atoms:
Sm (0.1385, 0.1385, 0.4493)
Sm (0.1414, 0.1414, 0.9525)
Sm (0.3571, 0.3571, 0.7972)
Sm (0.6429, 0.6429, 0.2028)
Sm (0.8586, 0.8586, 0.0475)
Sm (0.8615, 0.8615, 0.5507)
Tm (0.3556, 0.3556, 0.2964)
Tm (0.6444, 0.6444, 0.7036)
C (0.2439, 0.2439, 0.8679)
C (0.2535, 0.2535, 0.3762)
C (0.7465, 0.7465, 0.6238)
C (0.7561, 0.7561, 0.1321)

---

6.
An optimized crystal structure of SmTm2C, computed with PBE.

Output
Space group   No. 160
Energy of formation   -0.221 eV/atom
Energy above the most stable polymorph in this dataset   0.00 eV per formula unit
Mass density   8.422 Mg/m³
M_tot   0.47 Bohr magnetons per cell

a b c (Å): 9.2992 9.2992 9.2992
angles (deg): 21.97 21.97 21.97
Fractional coordinates of all 4 atoms:
Sm (0.0000, 0.0000, 0.0000)
Tm (0.2166, 0.2166, 0.2166)
Tm (0.4526, 0.4526, 0.4526)
C (0.8351, 0.8351, 0.8351)

---

7.
An optimized crystal structure of SmTmC2, computed with PBE.

Output
Space group   No. 166
Energy of formation   0.098 eV/atom
Mass density   8.500 Mg/m³
M_tot   0.00 Bohr magnetons per cell

a b c (Å): 6.2533 6.2533 6.2533
angles (deg): 33.70 33.70 33.70
Fractional coordinates of all 4 atoms:
Sm (0.0000, 0.0000, 0.0000)
Tm (0.5000, 0.5000, 0.5000)
C (0.2457, 0.2457, 0.2457)
C (0.7543, 0.7543, 0.7543)

---

8.
An optimized crystal structure of SmTm2C, computed with PBE.

Output
Space group   No. 166
Energy of formation   -0.129 eV/atom
Energy above the most stable polymorph in this dataset   0.37 eV per formula unit
Mass density   8.138 Mg/m³
M_tot   0.00 Bohr magnetons per cell

a b c (Å): 9.8842 9.8842 9.8842
angles (deg): 20.34 20.34 20.34
Fractional coordinates of all 4 atoms:
Sm (0.0000, 0.0000, 0.0000)
Tm (0.1211, 0.1211, 0.1211)
Tm (0.8789, 0.8789, 0.8789)
C (0.5000, 0.5000, 0.5000)

---

9.
An optimized crystal structure of Sm2Tm4C, computed with PBE.

Output
Space group   No. 139
Energy of formation   0.100 eV/atom
Mass density   8.032 Mg/m³
M_tot   0.00 Bohr magnetons per cell

a b c (Å): 9.5805 9.5805 9.5805
angles (deg): 151.14 151.14 41.26
Fractional coordinates of all 7 atoms:
Sm (0.1782, 0.1782, 0.0000)
Sm (0.8218, 0.8218, 0.0000)
Tm (0.0000, 0.5000, 0.5000)
Tm (0.3687, 0.3687, 0.0000)
Tm (0.5000, 0.0000, 0.5000)
Tm (0.6313, 0.6313, 0.0000)
C (0.5000, 0.5000, 0.0000)

---

10.
An optimized crystal structure of Sm2UC, computed with PBE.

Output
Space group   No. 166
Energy of formation   0.380 eV/atom
Mass density   9.052 Mg/m³
M_tot   3.07 Bohr magnetons per cell

a b c (Å): 9.9917 9.9917 9.9917
angles (deg): 19.89 19.89 19.89
Fractional coordinates of all 4 atoms:
Sm (0.1179, 0.1179, 0.1179)
Sm (0.8821, 0.8821, 0.8821)
U (0.0000, 0.0000, 0.0000)
C (0.5000, 0.5000, 0.5000)

---

11.
An optimized crystal structure of SmU2WC4, computed with PBE.

Output
Space group   No. 63
Energy of formation   0.010 eV/atom
Mass density   11.490 Mg/m³
M_tot   2.85 Bohr magnetons per cell

a b c (Å): 6.1274 6.1274 11.6618
angles (deg): 90.00 90.00 145.49
Fractional coordinates of all 16 atoms:
Sm (0.1251, 0.8749, 0.7500)
Sm (0.8749, 0.1251, 0.2500)
U (0.3731, 0.6269, 0.5423)
U (0.3731, 0.6269, 0.9577)
U (0.6269, 0.3731, 0.0423)
U (0.6269, 0.3731, 0.4577)
W (0.1385, 0.8615, 0.2500)
W (0.8615, 0.1385, 0.7500)
C (0.0000, 0.0000, 0.0000)
C (0.0000, 0.0000, 0.5000)
C (0.2545, 0.7455, 0.1184)
C (0.2545, 0.7455, 0.3816)
C (0.4443, 0.5557, 0.7500)
C (0.5557, 0.4443, 0.2500)
C (0.7455, 0.2545, 0.6184)
C (0.7455, 0.2545, 0.8816)

---

12.
An optimized crystal structure of SmVC2, computed with PBE.

Output
Space group   No. 166
Energy of formation   -0.012 eV/atom
Mass density   7.414 Mg/m³
M_tot   0.00 Bohr magnetons per cell

a b c (Å): 5.8465 5.8465 5.8465
angles (deg): 32.21 32.21 32.21
Fractional coordinates of all 4 atoms:
Sm (0.0000, 0.0000, 0.0000)
V (0.5000, 0.5000, 0.5000)
C (0.2315, 0.2315, 0.2315)
C (0.7685, 0.7685, 0.7685)

---

13.
An optimized crystal structure of Sm3WC4, computed with PBE.

Output
Space group   No. 31
Energy of formation   0.017 eV/atom
Mass density   7.552 Mg/m³
M_tot   0.00 Bohr magnetons per cell

a b c (Å): 7.9557 6.9170 5.4579
angles (deg): 90.00 90.00 90.00
Fractional coordinates of all 16 atoms:
Sm (0.0000, 0.1474, 0.0000)
Sm (0.2476, 0.3290, 0.5006)
Sm (0.2524, 0.6710, 0.0006)
Sm (0.5000, 0.8526, 0.5000)
Sm (0.7476, 0.6710, 0.0006)
Sm (0.7524, 0.3290, 0.5006)
W (0.0000, 0.8243, 0.4724)
W (0.5000, 0.1757, 0.9724)
C (0.0000, 0.1106, 0.5398)
C (0.0000, 0.8204, 0.1195)
C (0.2193, 0.6871, 0.5413)
C (0.2807, 0.3129, 0.0413)
C (0.5000, 0.1796, 0.6195)
C (0.5000, 0.8894, 0.0398)
C (0.7193, 0.3129, 0.0413)
C (0.7807, 0.6871, 0.5413)

---

14.
An optimized crystal structure of Sm2WC, computed with PBE.

Output
Space group   No. 166
Energy of formation   0.899 eV/atom
Mass density   9.516 Mg/m³
M_tot   0.50 Bohr magnetons per cell

a b c (Å): 9.1090 9.1090 9.1090
angles (deg): 21.21 21.21 21.21
Fractional coordinates of all 4 atoms:
Sm (0.1121, 0.1121, 0.1121)
Sm (0.8879, 0.8879, 0.8879)
W (0.0000, 0.0000, 0.0000)
C (0.5000, 0.5000, 0.5000)

---

15.
An optimized crystal structure of SmY2W2C4, computed with PBE.

Output
Space group   No. 12
Energy of formation   -0.069 eV/atom
Mass density   7.519 Mg/m³
M_tot   0.00 Bohr magnetons per cell

a b c (Å): 8.5791 8.5791 5.6098
angles (deg): 93.04 93.04 23.48
Fractional coordinates of all 9 atoms:
Sm (0.0000, 0.0000, 0.0000)
Y (0.1601, 0.1601, 0.5799)
Y (0.8399, 0.8399, 0.4201)
W (0.3133, 0.3133, 0.9360)
W (0.6867, 0.6867, 0.0640)
C (0.2345, 0.2345, 0.2223)
C (0.4081, 0.4081, 0.1465)
C (0.5919, 0.5919, 0.8535)
C (0.7655, 0.7655, 0.7777)

---

16.
An optimized crystal structure of Sm3YC, computed with PBE.

Output
Space group   No. 221
Energy of formation   0.057 eV/atom
Mass density   6.612 Mg/m³
M_tot   0.00 Bohr magnetons per cell

a b c (Å): 5.1754 5.1754 5.1754
angles (deg): 90.00 90.00 90.00
Fractional coordinates of all 5 atoms:
Sm (0.0000, 0.0000, 0.5000)
Sm (0.0000, 0.5000, 0.0000)
Sm (0.5000, 0.0000, 0.0000)
Y (0.5000, 0.5000, 0.5000)
C (0.0000, 0.0000, 0.0000)

---

17.
An optimized crystal structure of Sm2YC2, computed with PBE.

Output
Space group   No. 12
Energy of formation   -0.099 eV/atom
Mass density   6.380 Mg/m³
M_tot   1.46 Bohr magnetons per cell

a b c (Å): 6.4352 6.4352 7.4272
angles (deg): 108.77 108.77 48.43
Fractional coordinates of all 10 atoms:
Sm (0.0074, 0.0074, 0.2329)
Sm (0.3355, 0.3355, 0.9274)
Sm (0.6645, 0.6645, 0.0726)
Sm (0.9926, 0.9926, 0.7671)
Y (0.3454, 0.3454, 0.4045)
Y (0.6546, 0.6546, 0.5955)
C (0.1673, 0.1673, 0.0926)
C (0.4991, 0.4991, 0.2629)
C (0.5009, 0.5009, 0.7371)
C (0.8327, 0.8327, 0.9074)

---

18.
An optimized crystal structure of Sm4Y2C, computed with PBE.

Output
Space group   No. 139
Energy of formation   0.182 eV/atom
Mass density   5.940 Mg/m³
M_tot   0.00 Bohr magnetons per cell

a b c (Å): 9.5397 9.5397 9.5397
angles (deg): 149.64 149.64 43.47
Fractional coordinates of all 7 atoms:
Sm (0.0000, 0.5000, 0.5000)
Sm (0.1366, 0.1366, 0.0000)
Sm (0.5000, 0.0000, 0.5000)
Sm (0.8634, 0.8634, 0.0000)
Y (0.3295, 0.3295, 0.0000)
Y (0.6705, 0.6705, 0.0000)
C (0.0000, 0.0000, 0.0000)

---

19.
An optimized crystal structure of SmY3C, computed with PBE.

Output
Space group   No. 221
Energy of formation   -0.015 eV/atom
Mass density   5.437 Mg/m³
M_tot   0.00 Bohr magnetons per cell

a b c (Å): 5.0795 5.0795 5.0795
angles (deg): 90.00 90.00 90.00
Fractional coordinates of all 5 atoms:
Sm (0.0000, 0.0000, 0.0000)
Y (0.0000, 0.5000, 0.5000)
Y (0.5000, 0.0000, 0.5000)
Y (0.5000, 0.5000, 0.0000)
C (0.5000, 0.5000, 0.5000)

---

20.
An optimized crystal structure of SmY3C8, computed with PBE.

Output
Space group   No. 42
Energy of formation   0.128 eV/atom
Mass density   4.584 Mg/m³
M_tot   0.00 Bohr magnetons per cell

a b c (Å): 6.3814 6.1733 6.7714
angles (deg): 58.86 55.89 65.25
Fractional coordinates of all 12 atoms:
Sm (0.0000, 0.0000, 0.0000)
Y (0.2800, 0.2800, 0.2200)
Y (0.4913, 0.4913, 0.5087)
Y (0.7800, 0.7800, 0.7200)
C (0.0800, 0.4149, 0.5851)
C (0.1094, 0.6007, 0.8906)
C (0.3652, 0.8715, 0.1285)
C (0.4149, 0.0800, 0.9200)
C (0.5640, 0.8978, 0.4360)
C (0.6007, 0.1094, 0.3993)
C (0.8715, 0.3652, 0.6348)
C (0.8978, 0.5640, 0.1022)